No. 1
Entry from the Alexandria database: a geometry-optimized TaBe2In structure (PBE).

Lattice parameters (Å, degrees): 2.9348 2.9348 25.7032 90.00 90.00 120.00
Space group R-3m (No. 166, hexagonal axes)
Asymmetric unit:
Ta: 0.0000 0.0000 0.0000
Be: 0.0000 0.0000 0.2528
In: 0.0000 0.0000 0.5000

Total DFT energy (no corrections) in eV per atom: -4.97
Density of states at the Fermi level in states/eV/f.u.: 2.21

***

No. 2
Entry from the Alexandria database: a geometry-optimized KAcBeO3 structure (PBE).

Lattice parameters (Å, degrees): 7.3688 3.7140 8.0305 90.00 101.08 90.00
Space group P2_1/m (No. 11)
Asymmetric unit:
K: 0.1961 0.2500 0.1655
Ac: 0.1972 0.2500 0.6450
Be: 0.3943 0.7500 0.9458
O: 0.1438 0.7500 0.4352
O: 0.1903 0.7500 0.8614
O: 0.4892 0.2500 0.8745

Uncorrected formation energy in kcal/mol of atoms: -57.66
Total DFT energy (no corrections) in eV per atom: -6.47
Density of states at the Fermi level in states/eV/f.u.: 0.00

***

No. 3
Entry from the Alexandria database: a geometry-optimized AcNd12Sm7 structure (PBE).

Lattice parameters (Å, degrees): 11.6838 11.6838 11.6838 90.00 90.00 90.00
Space group Im-3 (No. 204)
Asymmetric unit:
Ac: 0.0000 0.0000 0.0000
Nd: 0.0000 0.2554 0.2541
Sm: 0.0000 0.0000 0.5000
Sm: 0.2500 0.2500 0.2500

Total DFT energy (no corrections) in eV per atom: -4.13
Density of states at the Fermi level in states/eV/f.u.: 26.09

***

No. 4
Entry from the Alexandria database: a geometry-optimized Tb2Ga4IrPt3 structure (PBE).

Lattice parameters (Å, degrees): 4.1683 4.1683 10.7322 90.00 90.00 90.00
Space group P-4m2 (No. 115)
Asymmetric unit:
Tb: 0.0000 0.5000 0.2410
Ga: 0.0000 0.0000 0.5000
Ga: 0.0000 0.5000 0.8690
Ga: 0.5000 0.5000 0.5000
Ir: 0.5000 0.5000 0.0000
Pt: 0.0000 0.0000 0.0000
Pt: 0.0000 0.5000 0.6385

Total DFT energy (no corrections) in eV per atom: -5.75
Density of states at the Fermi level in states/eV/f.u.: 5.88

***

No. 5
Entry from the Alexandria database: a geometry-optimized NbNi7As2 structure (PBE).

Lattice parameters (Å, degrees): 3.7163 3.7163 19.1690 90.00 90.00 90.00
Space group I4/mmm (No. 139)
Asymmetric unit:
Nb: 0.0000 0.0000 0.0000
Ni: 0.0000 0.0000 0.5000
Ni: 0.0000 0.5000 0.0950
Ni: 0.0000 0.5000 0.2500
As: 0.0000 0.0000 0.3259

Total DFT energy (no corrections) in eV per atom: -6.20
Density of states at the Fermi level in states/eV/f.u.: 7.49

***

No. 6
Entry from the Alexandria database: a geometry-optimized Ac2LaInN structure (PBE).

Lattice parameters (Å, degrees): 5.3526 5.3526 5.1608 90.00 90.00 90.00
Space group P4/mmm (No. 123)
Asymmetric unit:
Ac: 0.0000 0.5000 0.0000
La: 0.0000 0.0000 0.5000
In: 0.5000 0.5000 0.5000
N: 0.0000 0.0000 0.0000

Uncorrected formation energy in kcal/mol of atoms: -17.20
Total DFT energy (no corrections) in eV per atom: -5.59
Density of states at the Fermi level in states/eV/f.u.: 3.53